one) # LiHfSn2Pt GGA-PBE optimized geometry
data_LiHfSn2Pt
_chemical_formula_sum 'Li1 Hf1 Sn2 Pt1'
_symmetry_space_group_name_H-M 'P 4/m m m'
_symmetry_Int_Tables_number 123
_symmetry_space_group_name_Hall '-P 4 2'
_cell_length_a 4.793
_cell_length_b 4.793
_cell_length_c 4.294
_cell_angle_alpha 90.00
_cell_angle_beta 90.00
_cell_angle_gamma 90.00
loop_
_atom_site_label
_atom_site_fract_x
_atom_site_fract_y
_atom_site_fract_z
Li1 0.000 0.000 0.000
Hf1 0.500 0.500 0.500
Sn1 0.000 0.500 0.000
Pt1 0.000 0.000 0.500
# Total magnetic moment (μB per formula unit): 0.00



two) # LiHfSn2Pt GGA-PBE optimized geometry
data_LiHfSn2Pt
_chemical_formula_sum 'Li1 Hf1 Sn2 Pt1'
_symmetry_space_group_name_H-M 'P 4/m m m'
_symmetry_Int_Tables_number 123
_symmetry_space_group_name_Hall '-P 4 2'
_cell_length_a 5.227
_cell_length_b 5.227
_cell_length_c 5.139
_cell_angle_alpha 90.00
_cell_angle_beta 90.00
_cell_angle_gamma 90.00
loop_
_atom_site_label
_atom_site_fract_x
_atom_site_fract_y
_atom_site_fract_z
Li1 0.000 0.000 0.000
Hf1 0.500 0.500 0.000
Sn1 0.000 0.500 0.500
Pt1 0.500 0.500 0.500
# Total magnetic moment (μB per formula unit): 0.00



Most stable to least stable, the ends of the list are one) and two).



one) # LiHf2Re GGA-PBE optimized geometry
data_LiHf2Re
_chemical_formula_sum 'Li4 Hf8 Re4'
_symmetry_space_group_name_H-M 'I -4 2 d'
_symmetry_Int_Tables_number 122
_symmetry_space_group_name_Hall 'I -4 2bw'
_cell_length_a 7.216
_cell_length_b 7.216
_cell_length_c 5.713
_cell_angle_alpha 90.00
_cell_angle_beta 90.00
_cell_angle_gamma 90.00
loop_
_atom_site_label
_atom_site_fract_x
_atom_site_fract_y
_atom_site_fract_z
Li1 0.000 0.000 0.000
Hf1 0.249 0.750 0.125
Re1 0.000 0.000 0.500
# Total magnetic moment (μB per formula unit): 0.00



two) # LiHf2Re GGA-PBE optimized geometry
data_LiHf2Re
_chemical_formula_sum 'Li1 Hf2 Re1'
_symmetry_space_group_name_H-M 'P 4/m m m'
_symmetry_Int_Tables_number 123
_symmetry_space_group_name_Hall '-P 4 2'
_cell_length_a 4.605
_cell_length_b 4.605
_cell_length_c 3.331
_cell_angle_alpha 90.00
_cell_angle_beta 90.00
_cell_angle_gamma 90.00
loop_
_atom_site_label
_atom_site_fract_x
_atom_site_fract_y
_atom_site_fract_z
Li1 0.000 0.000 0.000
Hf1 0.000 0.500 0.500
Re1 0.500 0.500 0.000
# Total magnetic moment (μB per formula unit): 0.00



three) # LiHf2Re GGA-PBE optimized geometry
data_LiHf2Re
_chemical_formula_sum 'Li4 Hf8 Re4'
_symmetry_space_group_name_H-M 'F m -3 m'
_symmetry_Int_Tables_number 225
_symmetry_space_group_name_Hall '-F 4 2 3'
_cell_length_a 6.569
_cell_length_b 6.569
_cell_length_c 6.569
_cell_angle_alpha 90.00
_cell_angle_beta 90.00
_cell_angle_gamma 90.00
loop_
_atom_site_label
_atom_site_fract_x
_atom_site_fract_y
_atom_site_fract_z
Li1 0.000 0.000 0.000
Hf1 0.250 0.250 0.250
Re1 0.000 0.000 0.500
# Total magnetic moment (μB per formula unit): 0.00



Most stable to least stable, the ends of the list are three) and one).



one) # LiHf2Rh2 GGA-PBE optimized geometry
data_LiHf2Rh2
_chemical_formula_sum 'Li2 Hf4 Rh4'
_symmetry_space_group_name_H-M 'I 4/m m m'
_symmetry_Int_Tables_number 139
_symmetry_space_group_name_Hall '-I 4 2'
_cell_length_a 4.409
_cell_length_b 4.409
_cell_length_c 10.907
_cell_angle_alpha 90.00
_cell_angle_beta 90.00
_cell_angle_gamma 90.00
loop_
_atom_site_label
_atom_site_fract_x
_atom_site_fract_y
_atom_site_fract_z
Li1 0.000 0.000 0.000
Hf1 0.000 0.500 0.250
Rh1 0.000 0.000 0.383
# Total magnetic moment (μB per formula unit): 0.00



two) # LiHf2Rh2 GGA-PBE optimized geometry
data_LiHf2Rh2
_chemical_formula_sum 'Li2 Hf4 Rh4'
_symmetry_space_group_name_H-M 'P 4/m b m'
_symmetry_Int_Tables_number 127
_symmetry_space_group_name_Hall '-P 4 2ab'
_cell_length_a 7.785
_cell_length_b 7.785
_cell_length_c 3.045
_cell_angle_alpha 90.00
_cell_angle_beta 90.00
_cell_angle_gamma 90.00
loop_
_atom_site_label
_atom_site_fract_x
_atom_site_fract_y
_atom_site_fract_z
Li1 0.000 0.000 0.000
Hf1 0.149 0.351 0.000
Rh1 0.146 0.646 0.500
# Total magnetic moment (μB per formula unit): 0.00



three) # LiHf2Rh2 GGA-PBE optimized geometry
data_LiHf2Rh2
_chemical_formula_sum 'Li2 Hf4 Rh4'
_symmetry_space_group_name_H-M 'I 4/m m m'
_symmetry_Int_Tables_number 139
_symmetry_space_group_name_Hall '-I 4 2'
_cell_length_a 3.953
_cell_length_b 3.953
_cell_length_c 13.218
_cell_angle_alpha 90.00
_cell_angle_beta 90.00
_cell_angle_gamma 90.00
loop_
_atom_site_label
_atom_site_fract_x
_atom_site_fract_y
_atom_site_fract_z
Li1 0.000 0.000 0.000
Hf1 0.000 0.000 0.379
Rh1 0.000 0.500 0.250
# Total magnetic moment (μB per formula unit): 0.00



four) # LiHf2Rh2 GGA-PBE optimized geometry
data_LiHf2Rh2
_chemical_formula_sum 'Li2 Hf4 Rh4'
_symmetry_space_group_name_H-M 'P 4/m b m'
_symmetry_Int_Tables_number 127
_symmetry_space_group_name_Hall '-P 4 2ab'
_cell_length_a 7.642
_cell_length_b 7.642
_cell_length_c 3.133
_cell_angle_alpha 90.00
_cell_angle_beta 90.00
_cell_angle_gamma 90.00
loop_
_atom_site_label
_atom_site_fract_x
_atom_site_fract_y
_atom_site_fract_z
Li1 0.000 0.000 0.000
Hf1 0.154 0.346 0.500
Rh1 0.141 0.641 0.000
# Total magnetic moment (μB per formula unit): 0.00



Most stable to least stable, the ends of the list are four) and three).



one) # LiHfRh2 GGA-PBE optimized geometry
data_LiHfRh2
_chemical_formula_sum 'Li4 Hf4 Rh8'
_symmetry_space_group_name_H-M 'I -4 2 d'
_symmetry_Int_Tables_number 122
_symmetry_space_group_name_Hall 'I -4 2bw'
_cell_length_a 6.706
_cell_length_b 6.706
_cell_length_c 5.673
_cell_angle_alpha 90.00
_cell_angle_beta 90.00
_cell_angle_gamma 90.00
loop_
_atom_site_label
_atom_site_fract_x
_atom_site_fract_y
_atom_site_fract_z
Li1 0.000 0.000 0.000
Hf1 0.000 0.000 0.500
Rh1 0.231 0.250 0.125
# Total magnetic moment (μB per formula unit): 0.00



two) # LiHfRh2 GGA-PBE optimized geometry
data_LiHfRh2
_chemical_formula_sum 'Li4 Hf4 Rh8'
_symmetry_space_group_name_H-M 'F m -3 m'
_symmetry_Int_Tables_number 225
_symmetry_space_group_name_Hall '-F 4 2 3'
_cell_length_a 6.230
_cell_length_b 6.230
_cell_length_c 6.230
_cell_angle_alpha 90.00
_cell_angle_beta 90.00
_cell_angle_gamma 90.00
loop_
_atom_site_label
_atom_site_fract_x
_atom_site_fract_y
_atom_site_fract_z
Li1 0.000 0.000 0.000
Hf1 0.000 0.000 0.500
Rh1 0.250 0.250 0.250
# Total magnetic moment (μB per formula unit): 0.00



three) # LiHfRh2 GGA-PBE optimized geometry
data_LiHfRh2
_chemical_formula_sum 'Li1 Hf1 Rh2'
_symmetry_space_group_name_H-M 'P 4/m m m'
_symmetry_Int_Tables_number 123
_symmetry_space_group_name_Hall '-P 4 2'
_cell_length_a 3.186
_cell_length_b 3.186
_cell_length_c 5.963
_cell_angle_alpha 90.00
_cell_angle_beta 90.00
_cell_angle_gamma 90.00
loop_
_atom_site_label
_atom_site_fract_x
_atom_site_fract_y
_atom_site_fract_z
Li1 0.000 0.000 0.000
Hf1 0.000 0.000 0.500
Rh1 0.500 0.500 0.239
# Total magnetic moment (μB per formula unit): 0.00



four) # LiHfRh2 GGA-PBE optimized geometry
data_LiHfRh2
_chemical_formula_sum 'Li1 Hf1 Rh2'
_symmetry_space_group_name_H-M 'P 4/m m m'
_symmetry_Int_Tables_number 123
_symmetry_space_group_name_Hall '-P 4 2'
_cell_length_a 4.302
_cell_length_b 4.302
_cell_length_c 3.267
_cell_angle_alpha 90.00
_cell_angle_beta 90.00
_cell_angle_gamma 90.00
loop_
_atom_site_label
_atom_site_fract_x
_atom_site_fract_y
_atom_site_fract_z
Li1 0.000 0.000 0.000
Hf1 0.500 0.500 0.000
Rh1 0.000 0.500 0.500
# Total magnetic moment (μB per formula unit): 0.00



Most stable to least stable, the ends of the list are two) and one).



one) # LiHfRh3 GGA-PBE optimized geometry
data_LiHfRh3
_chemical_formula_sum 'Li1 Hf1 Rh3'
_symmetry_space_group_name_H-M 'P m -3 m'
_symmetry_Int_Tables_number 221
_symmetry_space_group_name_Hall '-P 4 2 3'
_cell_length_a 4.807
_cell_length_b 4.807
_cell_length_c 4.807
_cell_angle_alpha 90.00
_cell_angle_beta 90.00
_cell_angle_gamma 90.00
loop_
_atom_site_label
_atom_site_fract_x
_atom_site_fract_y
_atom_site_fract_z
Li1 0.000 0.000 0.000
Hf1 0.500 0.500 0.500
Rh1 0.000 0.500 0.500
# Total magnetic moment (μB per formula unit): 0.48



two) # LiHfRh3 GGA-PBE optimized geometry
data_LiHfRh3
_chemical_formula_sum 'Li1 Hf1 Rh3'
_symmetry_space_group_name_H-M 'P m -3 m'
_symmetry_Int_Tables_number 221
_symmetry_space_group_name_Hall '-P 4 2 3'
_cell_length_a 4.171
_cell_length_b 4.171
_cell_length_c 4.171
_cell_angle_alpha 90.00
_cell_angle_beta 90.00
_cell_angle_gamma 90.00
loop_
_atom_site_label
_atom_site_fract_x
_atom_site_fract_y
_atom_site_fract_z
Li1 0.000 0.000 0.000
Hf1 0.500 0.500 0.500
Rh1 0.000 0.000 0.500
# Total magnetic moment (μB per formula unit): 0.00



Most stable to least stable, the ends of the list are two) and one).



one) # LiHfRh GGA-PBE optimized geometry
data_LiHfRh
_chemical_formula_sum 'Li2 Hf2 Rh2'
_symmetry_space_group_name_H-M 'I 4 m m'
_symmetry_Int_Tables_number 107
_symmetry_space_group_name_Hall 'I 4 -2'
_cell_length_a 3.360
_cell_length_b 3.360
_cell_length_c 8.706
_cell_angle_alpha 90.00
_cell_angle_beta 90.00
_cell_angle_gamma 90.00
loop_
_atom_site_label
_atom_site_fract_x
_atom_site_fract_y
_atom_site_fract_z
Li1 0.000 0.000 0.000
Hf1 0.000 0.000 0.309
Rh1 0.000 0.000 0.660
# Total magnetic moment (μB per formula unit): 0.00



two) # LiHfRh GGA-PBE optimized geometry
data_LiHfRh
_chemical_formula_sum 'Li4 Hf4 Rh4'
_symmetry_space_group_name_H-M 'I m m m'
_symmetry_Int_Tables_number 71
_symmetry_space_group_name_Hall '-I 2 2'
_cell_length_a 3.918
_cell_length_b 5.035
_cell_length_c 10.952
_cell_angle_alpha 90.00
_cell_angle_beta 90.00
_cell_angle_gamma 90.00
loop_
_atom_site_label
_atom_site_fract_x
_atom_site_fract_y
_atom_site_fract_z
Li1 0.000 0.247 0.000
Hf1 0.000 0.000 0.282
Rh1 0.000 0.500 0.375
# Total magnetic moment (μB per formula unit): 0.00



Most stable to least stable, the ends of the list are two) and one).



one) # Li2HfRh GGA-PBE optimized geometry
data_Li2HfRh
_chemical_formula_sum 'Li8 Hf4 Rh4'
_symmetry_space_group_name_H-M 'I -4 2 d'
_symmetry_Int_Tables_number 122
_symmetry_space_group_name_Hall 'I -4 2bw'
_cell_length_a 3.685
_cell_length_b 3.685
_cell_length_c 20.636
_cell_angle_alpha 90.00
_cell_angle_beta 90.00
_cell_angle_gamma 90.00
loop_
_atom_site_label
_atom_site_fract_x
_atom_site_fract_y
_atom_site_fract_z
Li1 0.216 0.250 0.125
Hf1 0.000 0.000 0.500
Rh1 0.000 0.000 0.000
# Total magnetic moment (μB per formula unit): 0.00



two) # Li2HfRh GGA-PBE optimized geometry
data_Li2HfRh
_chemical_formula_sum 'Li8 Hf4 Rh4'
_symmetry_space_group_name_H-M 'F m -3 m'
_symmetry_Int_Tables_number 225
_symmetry_space_group_name_Hall '-F 4 2 3'
_cell_length_a 6.135
_cell_length_b 6.135
_cell_length_c 6.135
_cell_angle_alpha 90.00
_cell_angle_beta 90.00
_cell_angle_gamma 90.00
loop_
_atom_site_label
_atom_site_fract_x
_atom_site_fract_y
_atom_site_fract_z
Li1 0.250 0.250 0.250
Hf1 0.000 0.000 0.000
Rh1 0.000 0.000 0.500
# Total magnetic moment (μB per formula unit): 0.00



Most stable to least stable, the ends of the list are one) and two).



one) # LiHfRu3 GGA-PBE optimized geometry
data_LiHfRu3
_chemical_formula_sum 'Li1 Hf1 Ru3'
_symmetry_space_group_name_H-M 'P m -3 m'
_symmetry_Int_Tables_number 221
_symmetry_space_group_name_Hall '-P 4 2 3'
_cell_length_a 4.826
_cell_length_b 4.826
_cell_length_c 4.826
_cell_angle_alpha 90.00
_cell_angle_beta 90.00
_cell_angle_gamma 90.00
loop_
_atom_site_label
_atom_site_fract_x
_atom_site_fract_y
_atom_site_fract_z
Li1 0.000 0.000 0.000
Hf1 0.500 0.500 0.500
Ru1 0.000 0.500 0.500
# Total magnetic moment (μB per formula unit): 3.68



two) # LiHfRu3 GGA-PBE optimized geometry
data_LiHfRu3
_chemical_formula_sum 'Li1 Hf1 Ru3'
_symmetry_space_group_name_H-M 'P m -3 m'
_symmetry_Int_Tables_number 221
_symmetry_space_group_name_Hall '-P 4 2 3'
_cell_length_a 4.176
_cell_length_b 4.176
_cell_length_c 4.176
_cell_angle_alpha 90.00
_cell_angle_beta 90.00
_cell_angle_gamma 90.00
loop_
_atom_site_label
_atom_site_fract_x
_atom_site_fract_y
_atom_site_fract_z
Li1 0.000 0.000 0.000
Hf1 0.500 0.500 0.500
Ru1 0.000 0.000 0.500
# Total magnetic moment (μB per formula unit): 0.00



Most stable to least stable, the ends of the list are two) and one).